! LiPd5Pt2, relaxed, DFT GGA-PBE; values from VASP
&SYSTEM
  ibrav = 0, nat = 16, ntyp = 3
/
ATOMIC_SPECIES
Pd 106.42 Pd.upf
Li 6.94 Li.upf
Pt 195.08 Pt.upf
ATOMIC_POSITIONS crystal
Pd 0.817 0.015 0.332
Li 0.750 0.750 0.500
Pd 0.000 0.000 0.000
Pd 0.500 0.500 0.000
Pd 0.683 0.183 0.668
Pt 0.857 0.643 0.000
Pt 0.643 0.143 0.000
Pd 0.183 0.985 0.668
Pd 0.317 0.817 0.332
Li 0.250 0.250 0.500
Pd 0.485 0.683 0.668
Pd 0.985 0.485 0.668
Pt 0.143 0.357 0.000
Pt 0.357 0.857 0.000
Pd 0.515 0.317 0.332
Pd 0.015 0.515 0.332
CELL_PARAMETERS angstrom
6.847 0.000 0.000
0.000 6.847 0.000
-3.424 -3.424 5.404
! calculated total energy: -4.994 eV per atom
! energy relative to the elements: 0.001 eV per atom
! energy above the most stable polymorph in this dataset: 0.000 eV per atom
! crystal system: tetragonal

---

! Li3Pd2Pt, relaxed, DFT GGA-PBE; values from VASP
&SYSTEM
  ibrav = 0, nat = 12, ntyp = 3
/
ATOMIC_SPECIES
Li 6.94 Li.upf
Pd 106.42 Pd.upf
Pt 195.08 Pt.upf
ATOMIC_POSITIONS crystal
Li 0.750 0.628 0.922
Pd 0.750 0.629 0.589
Li 0.250 0.379 0.738
Pt 0.250 0.874 0.753
Li 0.250 0.372 0.078
Li 0.750 0.127 0.576
Li 0.250 0.873 0.424
Li 0.750 0.621 0.262
Pd 0.250 0.869 0.101
Pd 0.750 0.131 0.899
Pd 0.250 0.371 0.411
Pt 0.750 0.126 0.247
CELL_PARAMETERS angstrom
-0.838 -1.780 -3.711
-1.292 -4.376 2.390
-7.704 0.443 1.528
! calculated total energy: -4.114 eV per atom
! energy relative to the elements: -0.419 eV per atom
! energy above the most stable polymorph in this dataset: 0.023 eV per atom
! crystal system: monoclinic

---

! Li2Pd6Pt, relaxed, DFT GGA-PBE; values from VASP
&SYSTEM
  ibrav = 0, nat = 18, ntyp = 3
/
ATOMIC_SPECIES
Pd 106.42 Pd.upf
Li 6.94 Li.upf
Pt 195.08 Pt.upf
ATOMIC_POSITIONS crystal
Pd 0.000 0.337 0.163
Li 0.500 0.165 0.335
Pd 0.500 0.501 0.670
Li 0.500 0.835 0.665
Pd 0.500 0.837 0.337
Pd 0.000 0.001 0.830
Li 0.000 0.335 0.835
Li 0.000 0.665 0.165
Pd 0.500 0.163 0.663
Pd 0.000 0.663 0.837
Pd 0.500 0.830 0.999
Pd 0.000 0.999 0.170
Pt 0.000 0.000 0.500
Pd 0.000 0.670 0.499
Pd 0.000 0.330 0.501
Pt 0.500 0.500 0.000
Pd 0.500 0.499 0.330
Pd 0.500 0.170 0.001
CELL_PARAMETERS angstrom
3.934 0.000 0.000
0.000 8.222 0.000
0.001 0.000 8.222
! calculated total energy: -4.788 eV per atom
! energy relative to the elements: -0.230 eV per atom
! energy above the most stable polymorph in this dataset: 0.000 eV per atom
! crystal system: tetragonal